DFT (GGA-PBE) results for a relaxed structure of CrFe2Ni.

a = 2.494 Å, b = 2.494 Å, c = 8.302 Å
α = 81.36°, β = 81.36°, γ = 60.00°
Site moments in Bohr magnetons follow the coordinates.
Sites, in units of the cell vectors:
Cr1 0.501 0.501 0.496  -0.64
Fe1 0.084 0.084 0.748  1.54
Fe2 0.249 0.249 0.254  1.18
Ni1 0.666 0.666 0.002  0.61

Calculated values
Symmetry   R3m (160)
Crystal system   trigonal
Total DFT energy (no corrections)   -7.97 eV/atom
M_tot   2.62 μB/f.u.



DFT (GGA-PBE) results for a relaxed structure of Cr2FeNi.

a = 3.589 Å, b = 2.478 Å, c = 5.547 Å
α = 63.61°, β = 90.00°, γ = 90.00°
Site moments in Bohr magnetons follow the coordinates.
Sites, in units of the cell vectors:
Cr1 0.000 0.990 0.011  -0.12
Cr2 0.000 0.510 0.489  -0.12
Fe1 0.500 0.250 0.250  0.45
Ni1 0.500 0.750 0.750  -0.04

Calculated values
Symmetry   P2/m (10)
Crystal system   monoclinic
Total DFT energy (no corrections)   -8.30 eV/atom
M_tot   0.16 μB/f.u.



DFT (GGA-PBE) results for a relaxed structure of CrFe2Ni2.

a = 6.864 Å, b = 6.864 Å, c = 2.554 Å
α = 90.00°, β = 90.00°, γ = 90.00°
Site moments in Bohr magnetons follow the coordinates.
Sites, in units of the cell vectors:
Ni1 0.175 0.675 0.500  0.57
Ni2 0.675 0.825 0.500  0.58
Ni3 0.825 0.325 0.500  0.57
Ni4 0.325 0.175 0.500  0.58
Fe1 0.379 0.879 0.000  2.40
Fe2 0.879 0.621 0.000  2.36
Fe3 0.621 0.121 0.000  2.40
Fe4 0.121 0.379 0.000  2.36
Cr1 0.000 0.000 0.000  -2.37
Cr2 0.500 0.500 0.000  -2.37

Calculated values
Symmetry   P4/mbm (127)
Crystal system   tetragonal
Total DFT energy (no corrections)   -7.36 eV/atom
M_tot   3.32 μB/f.u.



DFT (GGA-PBE) results for a relaxed structure of Cr2Fe2Ni.

a = 6.710 Å, b = 6.710 Å, c = 2.541 Å
α = 90.00°, β = 90.00°, γ = 90.00°
Sites, in units of the cell vectors:
Ni1 0.000 0.000 0.000
Ni2 0.500 0.500 0.000
Fe1 0.163 0.663 0.500
Fe2 0.663 0.837 0.500
Fe3 0.837 0.337 0.500
Fe4 0.337 0.163 0.500
Cr1 0.365 0.865 0.000
Cr2 0.865 0.635 0.000
Cr3 0.635 0.135 0.000
Cr4 0.135 0.365 0.000

Calculated values
Symmetry   P4/mbm (127)
Crystal system   tetragonal
Total DFT energy (no corrections)   -8.09 eV/atom
M_tot   0.00 μB/f.u.



DFT (GGA-PBE) results for a relaxed structure of CrFe2Ni.

a = 8.331 Å, b = 8.331 Å, c = 8.331 Å
α = 17.29°, β = 17.29°, γ = 17.29°
Site moments in Bohr magnetons follow the coordinates.
Sites, in units of the cell vectors:
Cr1 0.750 0.750 0.750  -1.01
Fe1 0.001 0.001 0.001  1.67
Fe2 0.499 0.499 0.499  1.67
Ni1 0.250 0.250 0.250  0.58

Calculated values
Symmetry   R-3m (166)
Crystal system   trigonal
Total DFT energy (no corrections)   -7.98 eV/atom
M_tot   2.81 μB/f.u.



DFT (GGA-PBE) results for a relaxed structure of CrFeNi2.

a = 2.968 Å, b = 2.968 Å, c = 5.201 Å
α = 90.00°, β = 90.00°, γ = 90.00°
Site moments in Bohr magnetons follow the coordinates.
Sites, in units of the cell vectors:
Cr1 0.000 0.000 0.499  -1.92
Fe1 0.500 0.500 0.752  2.31
Ni1 0.000 0.000 0.000  0.45
Ni2 0.500 0.500 0.249  -0.31

Calculated values
Symmetry   P4mm (99)
Crystal system   tetragonal
Total DFT energy (no corrections)   -7.34 eV/atom
M_tot   0.41 μB/f.u.



DFT (GGA-PBE) results for a relaxed structure of CrFe2Ni.

a = 2.441 Å, b = 2.441 Å, c = 7.886 Å
α = 90.00°, β = 90.00°, γ = 105.58°
Site moments in Bohr magnetons follow the coordinates.
Sites, in units of the cell vectors:
Ni1 0.500 0.500 0.250  0.54
Fe1 0.000 0.000 0.003  2.25
Fe2 0.000 0.000 0.497  2.25
Cr1 0.500 0.500 0.750  -0.23

Calculated values
Symmetry   Cmmm (65)
Crystal system   orthorhombic
Total DFT energy (no corrections)   -8.03 eV/atom
M_tot   4.71 μB/f.u.



DFT (GGA-PBE) results for a relaxed structure of Cr2FeNi.

a = 4.050 Å, b = 4.050 Å, c = 4.050 Å
α = 60.00°, β = 60.00°, γ = 60.00°
Site moments in Bohr magnetons follow the coordinates.
Sites, in units of the cell vectors:
Cr1 0.000 0.000 0.000  2.08
Cr2 0.250 0.250 0.250  -1.14
Fe1 0.500 0.500 0.500  2.27
Ni1 0.750 0.750 0.750  0.69

Calculated values
Symmetry   F-43m (216)
Crystal system   cubic
Total DFT energy (no corrections)   -8.22 eV/atom
M_tot   3.92 μB/f.u.



Number 1: calculated formation energy 0.11 eV per atom. Number 2: calculated formation energy 0.07 eV per atom. Number 3: calculated formation energy 0.26 eV per atom. Number 4: calculated formation energy 0.30 eV per atom. Number 5: calculated formation energy 0.10 eV per atom. Number 6: calculated formation energy 0.07 eV per atom. Number 7: calculated formation energy 0.05 eV per atom. Number 8: calculated formation energy 0.15 eV per atom.